# 1
Material: ScSiSn3
Method: DFT, PBE
State: relaxed

Geometry as POSCAR:
```
ScSiSn3
1.0
5.4495 0.0000 0.0000
0.0000 5.4495 0.0000
0.0000 0.0000 5.4495
Sn Si Sc
3 1 1
Direct
0.5000 0.0000 0.0000 Sn
0.0000 0.5000 0.0000 Sn
0.0000 0.0000 0.5000 Sn
0.5000 0.5000 0.5000 Si
0.0000 0.0000 0.0000 Sc
```

Values from the calculation:
Magnetization in μB/cell: 0.00
DOS(E_F) in states/eV per cell: 3.51
V in Å³ per atom: 32.37
Crystal system: cubic
Formation energy (no corrections) in eV/f.u.: 3.68
Energy above the lowest structure with this stoichiometry in meV per atom: 282

# 2
Material: ZrBe2Cl
Method: DFT, PBE
State: relaxed

Geometry as POSCAR:
```
ZrBe2Cl
1.0
-3.6255 -0.9788 -0.3249
0.2931 -0.0166 -3.2203
1.4002 -5.2329 0.1399
Cl Zr Be
1 1 2
Direct
0.5000 0.2500 0.2500 Cl
0.5000 0.7500 0.7500 Zr
0.0000 0.2494 0.9402 Be
0.0000 0.2506 0.5598 Be
```

Values from the calculation:
Magnetization in μB/cell: 0.00
DOS(E_F) in states/eV per cell: 1.07
V in Å³ per atom: 16.51
Crystal system: monoclinic
Formation energy (no corrections) in eV/f.u.: 0.83
Energy above the lowest structure with this stoichiometry in meV per atom: 479

# 3
Material: CsDyI2O8
Method: DFT, PBE
State: relaxed

Geometry as POSCAR:
```
CsDyI2O8
1.0
-5.5051 1.8494 1.4471
-4.2516 0.3152 -4.2006
-5.4552 -7.1204 0.7234
O Cs I Dy
8 1 2 1
Direct
0.1980 0.1980 0.4060 O
0.0101 0.3826 0.8432 O
0.9899 0.6174 0.1568 O
0.6174 0.2359 0.1568 O
0.7641 0.0101 0.8432 O
0.2359 0.9899 0.1568 O
0.3826 0.7641 0.8432 O
0.8020 0.8020 0.5940 O
0.5000 0.5000 0.5000 Cs
0.2698 0.2698 0.1906 I
0.7302 0.7302 0.8094 I
0.0000 0.0000 0.0000 Dy
```

Values from the calculation:
Magnetization in μB/cell: 2.00
DOS(E_F) in states/eV per cell: 2.59
V in Å³ per atom: 21.48
Crystal system: trigonal
Formation energy (no corrections) in eV/f.u.: -12.92

# 4
Material: CoMo2Pt
Method: DFT, PBE
State: relaxed

Geometry as POSCAR:
```
CoMo2Pt
1.0
-1.5307 0.5134 -2.7463
-2.3508 -1.9288 0.9497
-2.7238 4.4796 2.3556
Co Mo Pt
1 2 1
Direct
0.5000 0.5000 0.7746 Co
0.5000 0.5000 0.2447 Mo
0.0000 0.0000 0.9701 Mo
0.0000 0.0000 0.5107 Pt
```

Values from the calculation:
Magnetization in μB/cell: 0.00
DOS(E_F) in states/eV per cell: 4.23
V in Å³ per atom: 14.58
Crystal system: tetragonal
Energy of formation from the pure elements in eV/atom: 0.000
Energy above the lowest structure with this stoichiometry in meV per atom: 138

# 5
Material: Ba2CaAs
Method: DFT, PBE
State: relaxed

Geometry as POSCAR:
```
Ba2CaAs
1.0
-7.0850 4.3729 4.9072
-9.5320 -0.1967 1.5819
8.9082 -3.6853 -0.6811
Ba As Ca
2 1 1
Direct
0.0971 0.0971 0.0000 Ba
0.4029 0.4029 0.0000 Ba
0.2500 0.7500 0.5000 As
0.7500 0.2500 0.5000 Ca
```

Values from the calculation:
Magnetization in μB/cell: 0.00
DOS(E_F) in states/eV per cell: 3.58
V in Å³ per atom: 42.99
Crystal system: orthorhombic
Energy of formation from the pure elements in eV/atom: -0.533

# 6
Material: TmAs2O2
Method: DFT, PBE
State: relaxed

Geometry as POSCAR:
```
TmAs2O2
1.0
-5.3470 5.3470 6.4768
5.3470 -5.3470 6.4768
5.3470 5.3470 -6.4768
Tm O As
4 8 8
Direct
0.8750 0.1250 0.2500 Tm
0.8750 0.6250 0.7500 Tm
0.8750 0.1250 0.7500 Tm
0.3750 0.1250 0.2500 Tm
0.9805 0.2805 0.7000 O
0.7695 0.9695 0.8000 O
0.7195 0.4195 0.7000 O
0.0305 0.8305 0.8000 O
0.7195 0.0195 0.3000 O
0.1695 0.9695 0.2000 O
0.0305 0.2305 0.2000 O
0.5805 0.2805 0.3000 O
0.1510 0.2720 0.1210 As
0.7801 0.4010 0.3790 As
0.7280 0.8490 0.8790 As
0.5990 0.9780 0.3790 As
0.9699 0.8490 0.1210 As
0.1510 0.0301 0.8790 As
0.5990 0.2199 0.6210 As
0.0220 0.4010 0.6210 As
```

Values from the calculation:
Magnetization in μB/cell: 0.00
DOS(E_F) in states/eV per cell: 7.58
V in Å³ per atom: 37.04
Crystal system: tetragonal
Formation energy (no corrections) in eV/f.u.: -5.77

# 7
Material: NdDyPa4
Method: DFT, PBE
State: relaxed

Geometry as POSCAR:
```
NdDyPa4
1.0
-1.6549 5.9131 0.6290
-5.9770 1.5372 0.1096
-2.5927 1.9369 5.2560
Pa Nd Dy
4 1 1
Direct
0.1246 0.6251 0.6251 Pa
0.6252 0.6251 0.1246 Pa
0.6252 0.6251 0.6251 Pa
0.6252 0.1246 0.6251 Pa
0.2500 0.2500 0.2500 Nd
0.0000 0.0000 0.0000 Dy
```

Values from the calculation:
Magnetization in μB/cell: 0.00
DOS(E_F) in states/eV per cell: 15.55
V in Å³ per atom: 27.71
Crystal system: cubic
Energy of formation from the pure elements in eV/atom: 0.240

# 8
Material: BaSr2PtO
Method: DFT, PBE
State: relaxed

Geometry as POSCAR:
```
BaSr2PtO
1.0
4.9671 0.0000 0.0000
0.0000 4.9671 0.0000
0.0000 0.0000 5.5467
Sr O Pt Ba
2 1 1 1
Direct
0.5000 0.0000 0.0000 Sr
0.0000 0.5000 0.0000 Sr
0.0000 0.0000 0.0000 O
0.5000 0.5000 0.5000 Pt
0.0000 0.0000 0.5000 Ba
```

Values from the calculation:
Magnetization in μB/cell: 0.00
DOS(E_F) in states/eV per cell: 2.86
V in Å³ per atom: 27.37
Crystal system: tetragonal
Formation energy (no corrections) in eV/f.u.: -6.37

# 9
Material: SrMgRh
Method: DFT, PBE
State: relaxed

Geometry as POSCAR:
```
SrMgRh
1.0
-2.5064 -1.2795 4.0740
0.7363 -4.4382 2.0680
2.3490 -0.3478 4.3448
Rh Mg Sr
1 1 1
Direct
0.5000 0.5000 0.5000 Rh
0.0000 0.0000 0.0000 Mg
0.7500 0.7500 0.7500 Sr
```

Values from the calculation:
Magnetization in μB/cell: 0.00
DOS(E_F) in states/eV per cell: 1.99
V in Å³ per atom: 28.61
Crystal system: cubic
Energy of formation from the pure elements in eV/atom: 0.628

# 10
Material: RbCaSmF6
Method: DFT, PBE
State: relaxed

Geometry as POSCAR:
```
RbCaSmF6
1.0
-1.4600 -6.7353 -5.0510
7.3638 -3.0864 1.9870
-5.4408 1.9647 6.1800
F Ca Sm Rb
12 2 2 2
Direct
0.5477 0.9118 0.7297 F
0.5477 0.3179 0.7297 F
0.8180 0.0882 0.2703 F
0.1820 0.3179 0.7297 F
0.5661 0.3161 0.1322 F
0.1820 0.9118 0.7297 F
0.8180 0.6821 0.2703 F
0.4523 0.6821 0.2703 F
0.1840 0.9340 0.3680 F
0.4339 0.6839 0.8678 F
0.4523 0.0882 0.2703 F
0.8160 0.0660 0.6320 F
0.5000 0.5000 0.0000 Ca
0.5000 0.0000 0.0000 Ca
0.0000 0.0000 0.5000 Sm
0.5000 0.0000 0.5000 Sm
0.7868 0.5368 0.5737 Rb
0.2132 0.4632 0.4263 Rb
```

Values from the calculation:
Magnetization in μB/cell: 0.22
DOS(E_F) in states/eV per cell: 0.00
V in Å³ per atom: 23.59
Crystal system: orthorhombic
Formation energy (no corrections) in eV/f.u.: -33.17

# 11
Material: Sm2YAg3Se6
Method: DFT, PBE
State: relaxed

Geometry as POSCAR:
```
Sm2YAg3Se6
1.0
4.2394 0.0000 0.0000
0.0000 8.0921 0.5840
-2.1197 -2.0407 8.5911
Se Ag Sm Y
6 3 2 1
Direct
0.3349 0.9251 0.6698 Se
0.9986 0.2435 0.9971 Se
0.3353 0.4225 0.6706 Se
0.6651 0.0749 0.3302 Se
0.0014 0.7565 0.0029 Se
0.6647 0.5775 0.3294 Se
0.8262 0.1863 0.6525 Ag
0.1738 0.8137 0.3475 Ag
0.5000 0.5000 0.0000 Ag
0.8334 0.6745 0.6667 Sm
0.1666 0.3255 0.3333 Sm
0.5000 0.0000 0.0000 Y
```

Values from the calculation:
Magnetization in μB/cell: 0.00
DOS(E_F) in states/eV per cell: 0.00
V in Å³ per atom: 24.98
Crystal system: monoclinic
Formation energy (no corrections) in eV/f.u.: -13.98

# 12
Material: NiRh2Br
Method: DFT, PBE
State: relaxed

Geometry as POSCAR:
```
NiRh2Br
1.0
-0.8876 -0.0532 -2.9530
2.8903 -0.6503 -0.8570
-1.2774 -6.3339 0.4980
Rh Br Ni
2 1 1
Direct
0.0000 0.0000 0.9596 Rh
0.0000 0.0000 0.5404 Rh
0.5000 0.5000 0.2500 Br
0.5000 0.5000 0.7500 Ni
```

Values from the calculation:
Magnetization in μB/cell: 2.07
DOS(E_F) in states/eV per cell: 6.02
V in Å³ per atom: 15.41
Crystal system: tetragonal
Formation energy (no corrections) in eV/f.u.: 1.76
Energy above the lowest structure with this stoichiometry in meV per atom: 87

# 13
Material: HoLu3Rh
Method: DFT, PBE
State: relaxed

Geometry as POSCAR:
```
HoLu3Rh
1.0
5.2868 0.0000 0.0000
0.0000 5.2868 0.0000
0.0000 0.0000 5.2868
Rh Ho Lu
1 1 3
Direct
0.0000 0.0000 0.0000 Rh
0.5000 0.5000 0.5000 Ho
0.0000 0.5000 0.0000 Lu
0.0000 0.0000 0.5000 Lu
0.5000 0.0000 0.0000 Lu
```

Values from the calculation:
Magnetization in μB/cell: 0.00
DOS(E_F) in states/eV per cell: 7.02
V in Å³ per atom: 29.55
Crystal system: cubic
Energy of formation from the pure elements in eV/atom: -0.268

# 14
Material: In2GeOs
Method: DFT, PBE
State: relaxed

Geometry as POSCAR:
```
In2GeOs
1.0
4.7010 0.0020 -0.0003
-1.2281 5.1583 -0.0002
-1.6767 -1.5091 6.9852
In Os Ge
4 2 2
Direct
0.9085 0.5632 0.7910 In
0.7586 0.1188 0.4343 In
0.0915 0.4368 0.2090 In
0.2414 0.8812 0.5657 In
0.8117 0.0510 0.8214 Os
0.1883 0.9490 0.1786 Os
0.5959 0.7782 0.0523 Ge
0.4041 0.2218 0.9477 Ge
```

Values from the calculation:
Magnetization in μB/cell: 0.00
DOS(E_F) in states/eV per cell: 2.73
V in Å³ per atom: 21.17
Crystal system: triclinic
Energy of formation from the pure elements in eV/atom: 0.147

# 15
Material: AcTb6PrDy2
Method: DFT, PBE
State: relaxed

Geometry as POSCAR:
```
AcTb6PrDy2
1.0
9.2024 -2.0173 -2.0935
0.9635 8.6651 -2.0623
0.9635 -2.3820 8.5827
Tb Dy Ac Pr
12 4 2 2
Direct
0.0574 0.1229 0.7489 Tb
0.5574 0.7489 0.1229 Tb
0.6176 0.4900 0.7096 Tb
0.8216 0.4422 0.9789 Tb
0.3216 0.9789 0.4422 Tb
0.4426 0.2511 0.8771 Tb
0.9426 0.8771 0.2511 Tb
0.3824 0.5100 0.2904 Tb
0.6784 0.0211 0.5578 Tb
0.1176 0.7096 0.4900 Tb
0.1784 0.5578 0.0211 Tb
0.8824 0.2904 0.5100 Tb
0.5479 0.1974 0.3101 Dy
0.9521 0.6899 0.8026 Dy
0.4521 0.8026 0.6899 Dy
0.0479 0.3101 0.1974 Dy
0.2500 0.9690 0.0310 Ac
0.7500 0.0310 0.9690 Ac
0.7500 0.5906 0.4094 Pr
0.2500 0.4094 0.5906 Pr
```

Values from the calculation:
Magnetization in μB/cell: 0.00
DOS(E_F) in states/eV per cell: 30.34
V in Å³ per atom: 34.11
Crystal system: monoclinic
Energy of formation from the pure elements in eV/atom: 0.130

# 16
Material: YLuBeGa
Method: DFT, PBE
State: relaxed

Geometry as POSCAR:
```
YLuBeGa
1.0
-2.4628 1.9903 -3.7272
0.9580 -1.3973 -4.5878
-3.2658 -2.6689 -2.4759
Y Ga Be Lu
1 1 1 1
Direct
0.7500 0.7500 0.7500 Y
0.0000 0.0000 0.0000 Ga
0.5000 0.5000 0.5000 Be
0.2500 0.2500 0.2500 Lu
```

Values from the calculation:
Magnetization in μB/cell: 0.00
DOS(E_F) in states/eV per cell: 3.09
V in Å³ per atom: 20.68
Crystal system: cubic
Energy of formation from the pure elements in eV/atom: -0.254

# 17
Material: AcGeB2O6
Method: DFT, PBE
State: relaxed

Geometry as POSCAR:
```
AcGeB2O6
1.0
6.7731 -0.2549 0.1904
-1.0822 6.6909 0.1904
-1.4585 -1.6495 5.7607
O Ac B Ge
12 2 4 2
Direct
0.4492 0.9036 0.6953 O
0.1017 0.1944 0.1570 O
0.4593 0.7511 0.0858 O
0.1944 0.1017 0.6570 O
0.2489 0.5407 0.4142 O
0.0964 0.5508 0.8047 O
0.9036 0.4492 0.1953 O
0.8056 0.8983 0.3430 O
0.5508 0.0964 0.3047 O
0.7511 0.4593 0.5858 O
0.5407 0.2489 0.9142 O
0.8983 0.8056 0.8430 O
0.8606 0.1394 0.7500 Ac
0.1394 0.8606 0.2500 Ac
0.3833 0.0895 0.7653 B
0.0895 0.3833 0.2653 B
0.6167 0.9105 0.2347 B
0.9105 0.6167 0.7347 B
0.6338 0.3662 0.2500 Ge
0.3662 0.6338 0.7500 Ge
```

Values from the calculation:
Magnetization in μB/cell: 0.00
DOS(E_F) in states/eV per cell: 2.94
V in Å³ per atom: 13.19
Crystal system: monoclinic
Formation energy (no corrections) in eV/f.u.: -23.35

# 18
Material: MgCdSn
Method: DFT, PBE
State: relaxed

Geometry as POSCAR:
```
MgCdSn
1.0
-1.7527 -1.0165 3.9402
-2.4242 -3.1849 -1.9001
5.5644 -4.9502 1.1981
Sn Cd Mg
2 2 2
Direct
0.5000 0.0000 0.2844 Sn
0.0000 0.5000 0.7156 Sn
0.5000 0.5000 0.0000 Cd
0.0000 0.0000 0.0000 Cd
0.0000 0.5000 0.3219 Mg
0.5000 0.0000 0.6781 Mg
```

Values from the calculation:
Magnetization in μB/cell: 0.00
DOS(E_F) in states/eV per cell: 2.31
V in Å³ per atom: 24.68
Crystal system: tetragonal
Energy of formation from the pure elements in eV/atom: -0.033

# 19
Material: Ba2Dy3S6
Method: DFT, PBE
State: relaxed

Geometry as POSCAR:
```
Ba2Dy3S6
1.0
6.7028 0.0000 1.9917
3.3514 6.0507 0.9959
0.1497 0.0000 7.6449
Dy S Ba
3 6 2
Direct
0.0000 0.0000 0.0000 Dy
0.3352 0.3296 0.0000 Dy
0.6648 0.6704 0.0000 Dy
0.2620 0.0000 0.2091 S
0.0669 0.3352 0.7931 S
0.4021 0.6648 0.7931 S
0.7380 0.0000 0.7909 S
0.9331 0.6648 0.2069 S
0.5979 0.3352 0.2069 S
0.8328 0.3343 0.5000 Ba
0.1672 0.6657 0.5000 Ba
```

Values from the calculation:
Magnetization in μB/cell: 0.00
DOS(E_F) in states/eV per cell: 3.40
V in Å³ per atom: 28.02
Crystal system: monoclinic
Formation energy (no corrections) in eV/f.u.: -22.88

# 20
Material: LiTcAs2
Method: DFT, PBE
State: relaxed

Geometry as POSCAR:
```
LiTcAs2
1.0
0.0000 3.0968 3.0968
3.0968 0.0000 3.0968
3.0968 3.0968 0.0000
As Li Tc
2 1 1
Direct
0.7500 0.7500 0.7500 As
0.2500 0.2500 0.2500 As
0.0000 0.0000 0.0000 Li
0.5000 0.5000 0.5000 Tc
```

Values from the calculation:
Magnetization in μB/cell: 0.00
DOS(E_F) in states/eV per cell: 1.95
V in Å³ per atom: 14.85
Crystal system: cubic
Energy of formation from the pure elements in eV/atom: -0.182
Energy above the lowest structure with this stoichiometry in meV per atom: 163